As3Au | PBE | optimized geometry

```
data_As3Au
_space_group_name_H-M_alt 'C m m m'
_space_group_IT_number 65
_space_group_name_Hall '-C 2 2'
_cell_length_a 3.199
_cell_length_b 4.826
_cell_length_c 9.865
_cell_angle_alpha 90.00
_cell_angle_beta 90.00
_cell_angle_gamma 90.00
loop_
_atom_site_label
_atom_site_type_symbol
_atom_site_fract_x
_atom_site_fract_y
_atom_site_fract_z
As1 As 0.000 0.000 0.000
As2 As 0.000 0.500 0.252
Au1 Au 0.000 0.000 0.500
```

Results
Total moment, μB per formula unit: 0.0
E above lowest polymorph, meV per atom: 305
E_form, eV/atom: 0.36